# TbPmMg2Au4

An optimized crystal structure of TbPmMg2Au4 (PBE-GGA, Alexandria via LeMat-Bulk).

a b c (Å): 4.9713 4.9713 24.1583
angles (deg): 90.00 90.00 120.00
Space group R-3m (No. 166, hexagonal axes)
Unique sites:
Tb 0.0000 0.0000 0.0000 [3 per cell]
Pm 0.0000 0.0000 0.5000 [3 per cell]
Mg 0.0000 0.0000 0.2504 [6 per cell]
Au 0.0000 0.0000 0.1233 [6 per cell]
Au 0.0000 0.0000 0.3719 [6 per cell]

Formation enthalpy at 0 K = -0.761 eV per atom
Calculated total energy = -3.97 eV per atom
Size of the total moment = 0.0 μB per formula unit